(1)
Density functional theory data (PBE) for a geometry-optimized BaZnSeO structure.

Calculated values
calculated total energy: -0.161 hartree per atom

Structure (POSCAR):
```
BaZnSeO
1.0
4.792 0.000 0.000
0.000 4.792 0.000
0.000 0.000 7.929
Ba Zn Se O
2 2 2 2
direct
0.250 0.250 0.177
0.750 0.750 0.823
0.250 0.250 0.632
0.750 0.750 0.368
0.250 0.750 0.500
0.750 0.250 0.500
0.250 0.250 0.871
0.750 0.750 0.129
```

(2)
Density functional theory data (PBE) for a geometry-optimized BaZnSeO structure.

Calculated values
calculated total energy: -0.167 hartree per atom

Structure (POSCAR):
```
BaZnSeO
1.0
6.446 0.000 0.000
0.000 9.157 0.000
0.000 0.000 6.182
Ba Zn Se O
4 4 4 4
direct
0.020 0.203 0.000
0.480 0.203 0.500
0.520 0.797 0.000
0.980 0.797 0.500
0.099 0.571 0.965
0.401 0.571 0.465
0.599 0.429 0.965
0.901 0.429 0.465
0.022 0.840 0.998
0.478 0.840 0.498
0.522 0.160 0.998
0.978 0.160 0.498
0.127 0.535 0.628
0.373 0.535 0.128
0.627 0.465 0.628
0.873 0.465 0.128
```

(3)
Density functional theory data (PBE) for a geometry-optimized Ba3Ta6Si4O23 structure.

Calculated values
calculated total energy: -0.316 hartree per atom

Structure (POSCAR):
```
Ba3Ta6Si4O23
1.0
9.087 0.000 0.000
-4.544 7.870 0.000
0.000 0.000 7.527
Ba Ta Si O
3 6 4 23
direct
0.000 0.590 0.000
0.410 0.410 0.000
0.590 0.000 0.000
0.000 0.238 0.247
0.000 0.238 0.753
0.238 0.000 0.247
0.238 0.000 0.753
0.762 0.762 0.247
0.762 0.762 0.753
0.333 0.667 0.287
0.333 0.667 0.713
0.667 0.333 0.287
0.667 0.333 0.713
0.000 0.280 0.500
0.000 0.826 0.232
0.000 0.826 0.768
0.174 0.174 0.232
0.174 0.174 0.768
0.186 0.485 0.209
0.186 0.485 0.791
0.280 0.000 0.500
0.299 0.814 0.209
0.299 0.814 0.791
0.333 0.667 0.500
0.485 0.186 0.209
0.485 0.186 0.791
0.515 0.701 0.209
0.515 0.701 0.791
0.667 0.333 0.500
0.701 0.515 0.209
0.701 0.515 0.791
0.720 0.720 0.500
0.814 0.299 0.209
0.814 0.299 0.791
0.826 0.000 0.232
0.826 0.000 0.768
```